(1)
Below is a geometry-optimized CdCu2OsSe4 structure, with properties calculated at the PBE level.

Values from the calculation:
total magnetic moment = 0.00 μB per cell
volume = 23.34 Å³ per atom
calculated total energy = -34.03 eV per formula unit

```
CdCu2OsSe4
1.0
4.4308 2.8550 4.4403
-2.7543 -0.6723 6.2818
1.0516 -4.7105 -4.9198
Cd Se Os Cu
1 4 1 2
Direct
0.0000 0.0000 0.0000
0.4082 0.8604 0.0000
0.1396 0.1396 0.5478
0.8604 0.4082 0.0000
0.5918 0.5918 0.4522
0.5000 0.5000 0.0000
0.2500 0.7500 0.5000
0.7500 0.2500 0.5000
```

(2)
Below is a geometry-optimized Sr2HgAu2 structure, with properties calculated at the PBE level.

Values from the calculation:
volume = 31.75 Å³ per atom
calculated total energy = -12.35 eV per formula unit

```
Sr2HgAu2
1.0
3.7497 -3.7497 0.0000
3.7497 3.7497 0.0000
-3.7497 0.0000 5.6450
Au Hg Sr
2 1 2
Direct
0.6179 0.6179 0.2358
0.3821 0.3821 0.7642
0.0000 0.0000 0.0000
0.7500 0.2500 0.5000
0.2500 0.7500 0.5000
```

(3)
Below is a geometry-optimized PrGdGe2 structure, with properties calculated at the PBE level.

Values from the calculation:
total magnetic moment = 0.03 μB per cell
volume = 28.75 Å³ per atom
distance to the lowest polymorph of the same formula = 2.47 eV/f.u.

```
PrGdGe2
1.0
-0.0099 2.8513 -1.6996
-6.4717 -0.4176 -0.6630
-4.3876 2.4575 4.1481
Ge Pr Gd
2 1 1
Direct
0.5000 0.3930 0.3930
0.5000 0.6035 0.6035
0.5000 0.8529 0.8529
0.5000 0.1506 0.1506
```